## DyEr4As5 (PBE)

Data for an optimized crystal structure of DyEr4As5.

Properties
VASP energy: -61.3 eV per cell
calculated volume: 24.19 Å³ per atom
calculated formation energy: -1.524 eV per atom

Lattice parameters (Å, degrees): 5.784 7.084 7.084 80.41 65.90 65.90
Fractional coordinates of all 10 atoms:
Dy 0.001 0.000 0.000
Er 0.401 0.400 0.800
Er 0.801 0.800 0.600
Er 0.201 0.200 0.400
Er 0.601 0.600 0.200
As 0.901 0.402 0.799
As 0.302 0.799 0.598
As 0.700 0.201 0.402
As 0.101 0.598 0.201
As 0.501 0.000 0.000